# La3BiRu PBE optimized geometry
# **Excess energy over the best structure of this formula in the dataset**: 169 meV/atom
# **Total DFT energy (no corrections)**: -6.01 eV per atom
# **Energy of formation from the pure elements**: -0.421 eV/atom
data_La3BiRu
_chemical_formula_sum 'La24 Bi8 Ru8'
_space_group_name_H-M_alt 'C 1 2/c 1'
_space_group_IT_number 15
_cell_length_a 9.783
_cell_length_b 14.837
_cell_length_c 8.750
_cell_angle_alpha 90.00
_cell_angle_beta 90.09
_cell_angle_gamma 90.00
loop_
_space_group_symop_operation_xyz
'x,y,z'
'-x,-y,-z'
'-x,y,-z+1/2'
'x,-y,z+1/2'
'x+1/2,y+1/2,z'
'-x+1/2,-y+1/2,-z'
'-x+1/2,y+1/2,-z+1/2'
'x+1/2,-y+1/2,z+1/2'
loop_
_atom_site_label
_atom_site_fract_x
_atom_site_fract_y
_atom_site_fract_z
La1 0.000 0.132 0.023
La2 0.000 0.363 0.513
La3 0.229 0.485 0.250
Bi1 0.219 0.253 0.750
Ru1 0.000 0.014 0.750
Ru2 0.000 0.285 0.250



# La3BiRu PBE optimized geometry
# **Excess energy over the best structure of this formula in the dataset**: 41 meV/atom
# **Total DFT energy (no corrections)**: -6.14 eV per atom
# **Energy of formation from the pure elements**: -0.548 eV/atom
data_La3BiRu
_chemical_formula_sum 'La6 Bi2 Ru2'
_space_group_name_H-M_alt 'P 1 21/m 1'
_space_group_IT_number 11
_cell_length_a 8.317
_cell_length_b 4.699
_cell_length_c 8.779
_cell_angle_alpha 90.00
_cell_angle_beta 115.21
_cell_angle_gamma 90.00
loop_
_space_group_symop_operation_xyz
'x,y,z'
'-x,-y,-z'
'-x,y+1/2,-z'
'x,-y+1/2,z'
loop_
_atom_site_label
_atom_site_fract_x
_atom_site_fract_y
_atom_site_fract_z
La1 0.036 0.250 0.252
La2 0.335 0.250 0.907
La3 0.341 0.750 0.590
Bi1 0.304 0.750 0.184
Ru1 0.101 0.250 0.614



# La5BiRu2 PBE optimized geometry
# **Total DFT energy (no corrections)**: -6.37 eV per atom
# **Energy of formation from the pure elements**: -0.483 eV/atom
data_La5BiRu2
_chemical_formula_sum 'La20 Bi4 Ru8'
_space_group_name_H-M_alt 'I 4/m c m'
_space_group_IT_number 140
_space_group_name_Hall '-I 4 2c'
_cell_length_a 8.126
_cell_length_b 8.126
_cell_length_c 14.193
_cell_angle_alpha 90.00
_cell_angle_beta 90.00
_cell_angle_gamma 90.00
loop_
_atom_site_label
_atom_site_fract_x
_atom_site_fract_y
_atom_site_fract_z
La1 0.000 0.000 0.000
La2 0.158 0.342 0.130
Bi1 0.000 0.000 0.250
Ru1 0.146 0.354 0.500



# La3BiRu PBE optimized geometry
# **Excess energy over the best structure of this formula in the dataset**: 567 meV/atom
# **Total DFT energy (no corrections)**: -5.61 eV per atom
# **Energy of formation from the pure elements**: -0.023 eV/atom
data_La3BiRu
_chemical_formula_sum 'La12 Bi4 Ru4'
_space_group_name_H-M_alt 'C m c m'
_space_group_IT_number 63
_space_group_name_Hall '-C 2c 2'
_cell_length_a 6.787
_cell_length_b 17.185
_cell_length_c 5.629
_cell_angle_alpha 90.00
_cell_angle_beta 90.00
_cell_angle_gamma 90.00
loop_
_atom_site_label
_atom_site_fract_x
_atom_site_fract_y
_atom_site_fract_z
La1 0.000 0.000 0.000
La2 0.238 0.327 0.250
Bi1 0.000 0.437 0.750
Ru1 0.000 0.273 0.750



# La3BiRu PBE optimized geometry
# **Excess energy over the best structure of this formula in the dataset**: 135 meV/atom
# **Total DFT energy (no corrections)**: -6.04 eV per atom
# **Energy of formation from the pure elements**: -0.454 eV/atom
data_La3BiRu
_chemical_formula_sum 'La12 Bi4 Ru4'
_space_group_name_H-M_alt 'C 1 2/m 1'
_space_group_IT_number 12
_cell_length_a 12.488
_cell_length_b 4.767
_cell_length_c 9.973
_cell_angle_alpha 90.00
_cell_angle_beta 90.52
_cell_angle_gamma 90.00
loop_
_space_group_symop_operation_xyz
'x,y,z'
'-x,-y,-z'
'-x,y,-z'
'x,-y,z'
'x+1/2,y+1/2,z'
'-x+1/2,-y+1/2,-z'
'-x+1/2,y+1/2,-z'
'x+1/2,-y+1/2,z'
loop_
_atom_site_label
_atom_site_fract_x
_atom_site_fract_y
_atom_site_fract_z
La1 0.055 0.000 0.375
La2 0.078 0.500 0.847
La3 0.242 0.500 0.346
Bi1 0.144 0.000 0.075
Ru1 0.106 0.500 0.584



# La3BiRu PBE optimized geometry
# **Excess energy over the best structure of this formula in the dataset**: 48 meV/atom
# **Total DFT energy (no corrections)**: -6.13 eV per atom
# **Energy of formation from the pure elements**: -0.541 eV/atom
data_La3BiRu
_chemical_formula_sum 'La6 Bi2 Ru2'
_space_group_name_H-M_alt 'P m m n'
_space_group_IT_number 59
_cell_length_a 4.535
_cell_length_b 7.067
_cell_length_c 9.909
_cell_angle_alpha 90.00
_cell_angle_beta 90.00
_cell_angle_gamma 90.00
loop_
_space_group_symop_operation_xyz
'x,y,z'
'-x,-y,-z'
'-x+1/2,-y+1/2,z'
'x+1/2,y+1/2,-z'
'x+1/2,-y,-z'
'-x+1/2,y,z'
'-x,y+1/2,-z'
'x,-y+1/2,z'
loop_
_atom_site_label
_atom_site_fract_x
_atom_site_fract_y
_atom_site_fract_z
La1 0.250 0.008 0.144
La2 0.250 0.250 0.595
Bi1 0.250 0.750 0.644
Ru1 0.250 0.250 0.899



# La3BiRu PBE optimized geometry
# **Excess energy over the best structure of this formula in the dataset**: 181 meV/atom
# **Total DFT energy (no corrections)**: -6.00 eV per atom
# **Energy of formation from the pure elements**: -0.408 eV/atom
data_La3BiRu
_chemical_formula_sum 'La6 Bi2 Ru2'
_space_group_name_H-M_alt 'P 63/m m c'
_space_group_IT_number 194
_space_group_name_Hall '-P 6c 2c'
_cell_length_a 5.5149
_cell_length_b 5.5149
_cell_length_c 11.2338
_cell_angle_alpha 90.00
_cell_angle_beta 90.00
_cell_angle_gamma 120.00
loop_
_atom_site_label
_atom_site_fract_x
_atom_site_fract_y
_atom_site_fract_z
La1 0.0000 0.0000 0.2500
La2 0.3333 0.6667 0.0475
Bi1 0.3333 0.6667 0.7500
Ru1 0.0000 0.0000 0.0000



# La3BiRu PBE optimized geometry
# **Excess energy over the best structure of this formula in the dataset**: 87 meV/atom
# **Total DFT energy (no corrections)**: -6.09 eV per atom
# **Energy of formation from the pure elements**: -0.502 eV/atom
data_La3BiRu
_chemical_formula_sum 'La12 Bi4 Ru4'
_space_group_name_H-M_alt 'P 1 21/c 1'
_space_group_IT_number 14
_cell_length_a 9.848
_cell_length_b 7.212
_cell_length_c 10.419
_cell_angle_alpha 90.00
_cell_angle_beta 114.94
_cell_angle_gamma 90.00
loop_
_space_group_symop_operation_xyz
'x,y,z'
'-x,-y,-z'
'-x,y+1/2,-z+1/2'
'x,-y+1/2,z+1/2'
loop_
_atom_site_label
_atom_site_fract_x
_atom_site_fract_y
_atom_site_fract_z
La1 0.086 0.058 0.366
La2 0.189 0.587 0.537
La3 0.377 0.170 0.787
Bi1 0.398 0.710 0.876
Ru1 0.089 0.249 0.626



# La3BiRu PBE optimized geometry
# **Excess energy over the best structure of this formula in the dataset**: 34 meV/atom
# **Total DFT energy (no corrections)**: -6.14 eV per atom
# **Energy of formation from the pure elements**: -0.555 eV/atom
data_La3BiRu
_chemical_formula_sum 'La6 Bi2 Ru2'
_space_group_name_H-M_alt 'P 1'
_space_group_IT_number 1
_cell_length_a 5.191
_cell_length_b 7.859
_cell_length_c 8.625
_cell_angle_alpha 62.95
_cell_angle_beta 89.91
_cell_angle_gamma 90.00
loop_
_space_group_symop_operation_xyz
'x,y,z'
loop_
_atom_site_label
_atom_site_fract_x
_atom_site_fract_y
_atom_site_fract_z
La1 0.000 0.000 0.000
La2 0.000 0.190 0.494
La3 0.000 0.396 0.000
La4 0.000 0.684 0.506
La5 0.499 0.839 0.742
La6 0.501 0.581 0.257
Bi1 0.500 0.046 0.284
Bi2 0.500 0.330 0.715
Ru1 0.001 0.588 0.205
Ru2 0.999 0.793 0.795



# La2BiRu2 PBE optimized geometry
# **Total DFT energy (no corrections)**: -6.77 eV per atom
# **Energy of formation from the pure elements**: -0.312 eV/atom
data_La2BiRu2
_chemical_formula_sum 'La4 Bi2 Ru4'
_space_group_name_H-M_alt 'P 4/m b m'
_space_group_IT_number 127
_space_group_name_Hall '-P 4 2ab'
_cell_length_a 7.507
_cell_length_b 7.507
_cell_length_c 4.329
_cell_angle_alpha 90.00
_cell_angle_beta 90.00
_cell_angle_gamma 90.00
loop_
_atom_site_label
_atom_site_fract_x
_atom_site_fract_y
_atom_site_fract_z
La1 0.183 0.317 0.000
Bi1 0.000 0.000 0.500
Ru1 0.114 0.614 0.500



# La4Bi2Ru PBE optimized geometry
# **Excess energy over the best structure of this formula in the dataset**: 0 meV/atom
# **Total DFT energy (no corrections)**: -5.91 eV per atom
# **Energy of formation from the pure elements**: -0.660 eV/atom
data_La4Bi2Ru
_chemical_formula_sum 'La8 Bi4 Ru2'
_space_group_name_H-M_alt 'P 1 21/m 1'
_space_group_IT_number 11
_cell_length_a 6.957
_cell_length_b 7.025
_cell_length_c 10.049
_cell_angle_alpha 90.00
_cell_angle_beta 110.13
_cell_angle_gamma 90.00
loop_
_space_group_symop_operation_xyz
'x,y,z'
'-x,-y,-z'
'-x,y+1/2,-z'
'x,-y+1/2,z'
loop_
_atom_site_label
_atom_site_fract_x
_atom_site_fract_y
_atom_site_fract_z
La1 0.199 0.250 0.115
La2 0.238 0.502 0.760
La3 0.296 0.750 0.416
Bi1 0.178 0.250 0.452
Bi2 0.331 0.750 0.066
Ru1 0.001 0.250 0.825



# La3BiRu PBE optimized geometry
# **Excess energy over the best structure of this formula in the dataset**: 58 meV/atom
# **Total DFT energy (no corrections)**: -6.12 eV per atom
# **Energy of formation from the pure elements**: -0.531 eV/atom
data_La3BiRu
_chemical_formula_sum 'La3 Bi1 Ru1'
_space_group_name_H-M_alt 'P m -3 m'
_space_group_IT_number 221
_space_group_name_Hall '-P 4 2 3'
_cell_length_a 5.478
_cell_length_b 5.478
_cell_length_c 5.478
_cell_angle_alpha 90.00
_cell_angle_beta 90.00
_cell_angle_gamma 90.00
loop_
_atom_site_label
_atom_site_fract_x
_atom_site_fract_y
_atom_site_fract_z
La1 0.000 0.000 0.500
Bi1 0.500 0.500 0.500
Ru1 0.000 0.000 0.000